## SrNiHgS3 (PBE)

Data for a relaxed SrNiHgS3 crystal.

Summary:
Energy above the lowest structure with this stoichiometry = 0.015 eV per atom
Total magnetization = 0.000 μB per atom

Cell lengths 3.6195, 7.4585, 11.7118 Å; angles 90.00, 90.00, 75.96 degrees
With the nearest neighbours (Å) after each atom.
Element x y z (fractional)
Hg 0.4388 0.1224 0.2500  4 S 2.53-2.67
Hg 0.5612 0.8776 0.7500  4 S 2.53-2.67
Ni 0.0000 0.0000 0.0000  4 S 2.27
Ni 0.0000 0.0000 0.5000  4 S 2.27
S 0.5658 0.8683 0.0844  2 Ni 2.27
S 0.8166 0.3668 0.2500  2 Hg 2.53, 2 Sr 2.83
S 0.5658 0.8683 0.4156  2 Ni 2.27
S 0.4341 0.1317 0.5844  2 Ni 2.27
S 0.1834 0.6332 0.7500  2 Hg 2.53, 2 Sr 2.83
S 0.4341 0.1317 0.9156  2 Ni 2.27
Sr 0.1665 0.6670 0.2500  6 S 2.83-3.03
Sr 0.8335 0.3330 0.7500  6 S 2.83-3.03